Compound: Cu2AuBr8
Source: the Alexandria database
Functional: GGA-PBE
Structure: relaxed

Cell lengths 6.6019, 8.0785, 8.0785 Å; angles 62.19, 94.18, 94.18 degrees
Closest atoms and distances in Å follow each position.
Atoms (fractional coordinates):
1 Cu 0.5611 0.8313 0.8313  4 Br 2.33-2.44
2 Cu 0.4389 0.1687 0.1687  4 Br 2.33-2.44
3 Au 0.0000 0.0000 0.0000  6 Br 2.61-2.62
4 Br 0.2437 0.2986 0.8697  1 Cu 2.44, 1 Au 2.61
5 Br 0.7563 0.1303 0.7014  1 Cu 2.44, 1 Au 2.61
6 Br 0.1989 0.8442 0.8442  1 Cu 2.41, 1 Au 2.62
7 Br 0.8011 0.1558 0.1558  1 Cu 2.41, 1 Au 2.62
8 Br 0.2437 0.8697 0.2986  1 Cu 2.44, 1 Au 2.61
9 Br 0.7563 0.7014 0.1303  1 Cu 2.44, 1 Au 2.61
10 Br 0.5205 0.6625 0.6625  1 Cu 2.33
11 Br 0.4795 0.3375 0.3375  1 Cu 2.33

Computed properties:
* space-group type: C2/m, No. 12
* spin magnetization: 0.082 μB/atom
* energy above the most stable polymorph in this dataset: 25.8 meV per atom

***

Compound: CuAu2Br6
Source: the Alexandria database
Functional: GGA-PBE
Structure: relaxed

Cell lengths 6.9709, 7.0218, 13.0118 Å; angles 90.00, 108.10, 90.00 degrees
Closest atoms and distances in Å follow each position.
Atoms (fractional coordinates):
1 Cu 0.5000 0.5000 0.0000  4 Br 2.42-2.43
2 Cu 0.0000 0.0000 0.5000  4 Br 2.42-2.43
3 Au 0.9937 0.6358 0.8330  4 Br 2.56-2.60
4 Au 0.5063 0.1358 0.6670  4 Br 2.56-2.60
5 Au 0.4937 0.8642 0.3330  4 Br 2.56-2.60
6 Au 0.0063 0.3642 0.1670  4 Br 2.56-2.60
7 Br 0.1592 0.0372 0.2316  2 Au 2.56-2.60
8 Br 0.1709 0.2988 0.5649  1 Cu 2.43, 1 Au 2.57
9 Br 0.1909 0.3303 0.9113  1 Cu 2.42, 1 Au 2.58
10 Br 0.3091 0.8303 0.5887  1 Cu 2.42, 1 Au 2.58
11 Br 0.3291 0.7988 0.9351  1 Cu 2.43, 1 Au 2.57
12 Br 0.3408 0.5372 0.2684  2 Au 2.56-2.60
13 Br 0.8408 0.9628 0.7684  2 Au 2.56-2.60
14 Br 0.8291 0.7012 0.4351  1 Cu 2.43, 1 Au 2.57
15 Br 0.8091 0.6697 0.0887  1 Cu 2.42, 1 Au 2.58
16 Br 0.6909 0.1697 0.4113  1 Cu 2.42, 1 Au 2.58
17 Br 0.6709 0.2012 0.0649  1 Cu 2.43, 1 Au 2.57
18 Br 0.6592 0.4628 0.7316  2 Au 2.56-2.60

Computed properties:
* space-group type: P2_1/c, No. 14
* spin magnetization: 0.107 μB/atom
* energy above the most stable polymorph in this dataset: 0.0 meV per atom

***

Compound: Cu2Au2Br
Source: the Alexandria database
Functional: GGA-PBE
Structure: relaxed

Cell lengths 7.4878, 7.4878, 3.1693 Å; angles 90.00, 90.00, 90.00 degrees
Closest atoms and distances in Å follow each position.
Atoms (fractional coordinates):
1 Au 0.3630 0.8630 0.0000  6 Cu 2.70-2.72, 1 Au 2.90, 2 Br 2.91
2 Au 0.8630 0.6370 0.0000  6 Cu 2.70-2.72, 1 Au 2.90, 2 Br 2.91
3 Au 0.6370 0.1370 0.0000  6 Cu 2.70-2.72, 1 Au 2.90, 2 Br 2.91
4 Au 0.1370 0.3630 0.0000  6 Cu 2.70-2.72, 1 Au 2.90, 2 Br 2.91
5 Cu 0.1544 0.6544 0.5000  6 Au 2.70-2.72
6 Cu 0.6544 0.8456 0.5000  6 Au 2.70-2.72
7 Cu 0.8456 0.3456 0.5000  6 Au 2.70-2.72
8 Cu 0.3456 0.1544 0.5000  6 Au 2.70-2.72
9 Br 0.0000 0.0000 0.0000  4 Au 2.91, 2 Br 3.17, 8 Cu 3.25
10 Br 0.5000 0.5000 0.0000  4 Au 2.91, 2 Br 3.17, 8 Cu 3.25

Computed properties:
* space-group type: P4/mbm, No. 127
* spin magnetization: 0.000 μB/atom
* energy above the most stable polymorph in this dataset: 27.5 meV per atom

***

Compound: CuAuBr2
Source: the Alexandria database
Functional: GGA-PBE
Structure: relaxed

Cell lengths 7.2263, 7.2263, 7.2263 Å; angles 30.83, 30.83, 30.83 degrees
Closest atoms and distances in Å follow each position.
Atoms (fractional coordinates):
1 Au 0.7500 0.7500 0.7500  6 Br 2.94
2 Br 0.9897 0.9897 0.9897  3 Cu 2.68, 3 Au 2.94
3 Br 0.5103 0.5103 0.5103  3 Cu 2.68, 3 Au 2.94
4 Cu 0.2500 0.2500 0.2500  6 Br 2.68

Computed properties:
* space-group type: R-3m, No. 166
* spin magnetization: 0.000 μB/atom
* energy above the most stable polymorph in this dataset: 194.3 meV per atom

***

Compound: HfCuAuBr2
Source: the Alexandria database
Functional: GGA-PBE
Structure: relaxed

Cell lengths 5.2455, 4.9110, 5.2455 Å; angles 90.00, 90.00, 90.00 degrees
Closest atoms and distances in Å follow each position.
Atoms (fractional coordinates):
1 Hf 0.5000 0.5000 0.5000  8 Br 3.59, 4 Cu 3.71
2 Au 0.0000 0.0000 0.0000  2 Cu 2.46, 4 Br 2.62
3 Cu 0.0000 0.5000 0.0000  2 Au 2.46
4 Br 0.0000 0.0000 0.5000  2 Au 2.62
5 Br 0.5000 0.0000 0.0000  2 Au 2.62

Computed properties:
* space-group type: P4/mmm, No. 123
* spin magnetization: 0.161 μB/atom
* total energy: -3.21 eV/atom

***

Compound: CuHgAuBr2
Source: the Alexandria database
Functional: GGA-PBE
Structure: relaxed

Cell lengths 4.9008, 5.3941, 4.9008 Å; angles 90.00, 90.00, 90.00 degrees
Closest atoms and distances in Å follow each position.
Atoms (fractional coordinates):
1 Cu 0.0000 0.0000 0.0000  4 Br 2.45, 2 Au 2.70
2 Au 0.0000 0.5000 0.0000  2 Cu 2.70
3 Hg 0.5000 0.5000 0.5000  4 Au 3.47, 8 Br 3.64
4 Br 0.0000 0.0000 0.5000  2 Cu 2.45
5 Br 0.5000 0.0000 0.0000  2 Cu 2.45

Computed properties:
* space-group type: P4/mmm, No. 123
* spin magnetization: 0.000 μB/atom
* total energy: -2.01 eV/atom

***

Compound: CuAuI2Br
Source: the Alexandria database
Functional: GGA-PBE
Structure: relaxed

Cell lengths 5.2951, 5.1325, 5.2951 Å; angles 90.00, 90.00, 90.00 degrees
Closest atoms and distances in Å follow each position.
Atoms (fractional coordinates):
1 I 0.0000 0.0000 0.5000  2 Cu 2.65
2 I 0.5000 0.0000 0.0000  2 Cu 2.65
3 Au 0.0000 0.5000 0.0000  2 Cu 2.57
4 Cu 0.0000 0.0000 0.0000  2 Au 2.57, 4 I 2.65
5 Br 0.5000 0.5000 0.5000  8 I 3.69, 4 Au 3.74

Computed properties:
* space-group type: P4/mmm, No. 123
* spin magnetization: 0.000 μB/atom
* total energy: -1.99 eV/atom

***

Compound: K3Cu2AuBr8
Source: the Alexandria database
Functional: GGA-PBE
Structure: relaxed

Cell lengths 7.4785, 7.4785, 9.4761 Å; angles 90.00, 90.00, 120.00 degrees
Closest atoms and distances in Å follow each position.
Atoms (fractional coordinates):
1 K 0.3333 0.6667 0.6141  4 Br 3.20-3.48
2 K 0.6667 0.3333 0.3859  4 Br 3.20-3.48
3 K 0.0000 0.0000 0.0000  6 Br 3.77
4 Cu 0.3333 0.6667 0.1949  4 Br 2.30-2.47
5 Cu 0.6667 0.3333 0.8051  4 Br 2.30-2.47
6 Au 0.0000 0.0000 0.5000  6 Br 2.74
7 Br 0.3333 0.6667 0.9520  1 Cu 2.30
8 Br 0.6667 0.3333 0.0480  1 Cu 2.30
9 Br 0.1681 0.8319 0.3243  1 Cu 2.47, 1 Au 2.74
10 Br 0.8319 0.1681 0.6757  1 Cu 2.47, 1 Au 2.74
11 Br 0.1681 0.3361 0.3243  1 Cu 2.47, 1 Au 2.74
12 Br 0.8319 0.6639 0.6757  1 Cu 2.47, 1 Au 2.74
13 Br 0.6639 0.8319 0.3243  1 Cu 2.47, 1 Au 2.74
14 Br 0.3361 0.1681 0.6757  1 Cu 2.47, 1 Au 2.74

Computed properties:
* space-group type: P-3m1, No. 164
* spin magnetization: 0.000 μB/atom
* total energy: -2.86 eV/atom

***

Compound: K3CuAu2Br9
Source: the Alexandria database
Functional: GGA-PBE
Structure: relaxed

Cell lengths 7.5288, 7.5288, 9.2365 Å; angles 90.00, 90.00, 120.00 degrees
Closest atoms and distances in Å follow each position.
Atoms (fractional coordinates):
1 K 0.3333 0.6667 0.6567  12 Br 3.69-3.84
2 K 0.0000 0.0000 0.0000  12 Br 3.76-3.77
3 K 0.6667 0.3333 0.3433  12 Br 3.69-3.84
4 Cu 0.0000 0.0000 0.5000  6 Br 2.59
5 Au 0.3333 0.6667 0.1718  6 Br 2.69-2.71
6 Au 0.6667 0.3333 0.8282  6 Br 2.69-2.71
7 Br 0.8378 0.1622 0.6620  1 Cu 2.59, 1 Au 2.71
8 Br 0.8378 0.6757 0.6620  1 Cu 2.59, 1 Au 2.71
9 Br 0.3243 0.1622 0.6620  1 Cu 2.59, 1 Au 2.71
10 Br 0.6757 0.8378 0.3380  1 Cu 2.59, 1 Au 2.71
11 Br 0.1622 0.3243 0.3380  1 Cu 2.59, 1 Au 2.71
12 Br 0.1622 0.8378 0.3380  1 Cu 2.59, 1 Au 2.71
13 Br 0.5000 0.0000 0.0000  2 Au 2.69
14 Br 0.0000 0.5000 0.0000  2 Au 2.69
15 Br 0.5000 0.5000 0.0000  2 Au 2.69

Computed properties:
* space-group type: P-3m1, No. 164
* spin magnetization: 0.000 μB/atom
* total energy: -2.72 eV/atom

***

Compound: La6Cu2AuBr3
Source: the Alexandria database
Functional: GGA-PBE
Structure: relaxed

Cell lengths 7.5097, 7.5097, 7.7360 Å; angles 99.33, 99.33, 119.96 degrees
Closest atoms and distances in Å follow each position.
Atoms (fractional coordinates):
1 La 0.9228 0.5821 0.7686  2 Cu 2.99-3.00, 1 Au 3.07, 3 Br 3.17-3.21
2 La 0.7343 0.7343 0.2268  2 Cu 2.99, 1 Au 3.05, 3 Br 3.16-3.20
3 La 0.0772 0.4179 0.2314  2 Cu 2.99-3.00, 1 Au 3.07, 3 Br 3.17-3.21
4 La 0.5821 0.9228 0.7686  2 Cu 2.99-3.00, 1 Au 3.07, 3 Br 3.17-3.21
5 La 0.2657 0.2657 0.7732  2 Cu 2.99, 1 Au 3.05, 3 Br 3.16-3.20
6 La 0.4179 0.0772 0.2314  2 Cu 2.99-3.00, 1 Au 3.07, 3 Br 3.17-3.21
7 Cu 0.3321 0.6679 0.0000  6 La 2.99-3.00
8 Cu 0.6679 0.3321 0.0000  6 La 2.99-3.00
9 Au 0.0000 0.0000 0.0000  6 La 3.05-3.07
10 Br 0.1632 0.8368 0.5000  6 La 3.17-3.21
11 Br 0.8368 0.1632 0.5000  6 La 3.17-3.21
12 Br 0.5000 0.5000 0.5000  6 La 3.16-3.20

Computed properties:
* space-group type: C2/m, No. 12
* spin magnetization: 0.000 μB/atom
* total energy: -4.65 eV/atom